The following is a DFT calculation (PBE) of a geometry-optimized ScCr3Tc structure.

Properties
Calculated formation energy (meV/atom): 969
Polymorph energy (0 for the lowest one) (meV per atom): 0

Cell: 4.589 4.589 4.589 Å, 90.00 90.00 90.00°
Space group Pm-3m (No. 221)
Inequivalent atoms, fractional coordinates:
Sc 0.000 0.000 0.000 x1
Cr 0.000 0.500 0.500 x3
Tc 0.500 0.500 0.500 x1